[1]
VASP calculation (PBE) on a relaxed Dy2Fe5C4 crystal. Values from VASP.

Properties
- size of the total moment (μB/f.u.) = 0.00
- total DFT energy (no corrections) (eV/atom) = -8.161

Structure (Quantum ESPRESSO input):
```
&SYSTEM
  ibrav = 0, nat = 11, ntyp = 3
/
ATOMIC_SPECIES
Dy 162.50 Dy.upf
Fe 55.84 Fe.upf
C 12.01 C.upf
CELL_PARAMETERS angstrom
0.0000 4.6146 5.1340
2.4793 0.0000 5.1340
2.4793 4.6146 0.0000
ATOMIC_POSITIONS crystal
Dy 0.1472 0.1472 0.8528
Dy 0.8528 0.8528 0.1472
Fe 0.0000 0.0000 0.5000
Fe 0.2500 0.2500 0.2500
Fe 0.5000 0.5000 0.0000
Fe 0.5000 0.5000 0.5000
Fe 0.7500 0.7500 0.7500
C 0.2083 0.5298 0.4702
C 0.4702 0.7917 0.2083
C 0.5298 0.2083 0.7917
C 0.7917 0.4702 0.5298
```

---

[2]
VASP calculation (PBE) on a relaxed NaLaTa crystal. Values from VASP.

Properties
- size of the total moment (μB/f.u.) = 1.81
- total DFT energy (no corrections) (eV/atom) = -4.595

Structure (Quantum ESPRESSO input):
```
&SYSTEM
  ibrav = 0, nat = 3, ntyp = 3
/
ATOMIC_SPECIES
Na 22.99 Na.upf
La 138.91 La.upf
Ta 180.95 Ta.upf
CELL_PARAMETERS angstrom
0.0000 3.5538 3.5538
3.5538 0.0000 3.5538
3.5538 3.5538 0.0000
ATOMIC_POSITIONS crystal
Na 0.0000 0.0000 0.0000
La 0.5000 0.5000 0.5000
Ta 0.7500 0.7500 0.7500
```

---

[3]
VASP calculation (PBE) on a relaxed PmDyPO crystal. Values from VASP.

Properties
- size of the total moment (μB/f.u.) = 0.00
- polymorph energy (0 for the lowest one) (eV per atom) = 0.087

Structure (Quantum ESPRESSO input):
```
&SYSTEM
  ibrav = 0, nat = 8, ntyp = 4
/
ATOMIC_SPECIES
Pm 145.00 Pm.upf
Dy 162.50 Dy.upf
P 30.97 P.upf
O 16.00 O.upf
CELL_PARAMETERS angstrom
4.3607 0.0000 0.0000
0.0000 4.3607 0.0000
0.0000 0.0000 8.7928
ATOMIC_POSITIONS crystal
Pm 0.2500 0.2500 0.1095
Pm 0.7500 0.7500 0.8905
Dy 0.2500 0.7500 0.5000
Dy 0.7500 0.2500 0.5000
P 0.2500 0.2500 0.6896
P 0.7500 0.7500 0.3104
O 0.2500 0.7500 0.0000
O 0.7500 0.2500 0.0000
```

---

[4]
VASP calculation (PBE) on a relaxed KB4Mo crystal. Values from VASP.

Properties
- size of the total moment (μB/f.u.) = 0.00
- polymorph energy (0 for the lowest one) (eV per atom) = 0.000

Structure (Quantum ESPRESSO input):
```
&SYSTEM
  ibrav = 0, nat = 6, ntyp = 3
/
ATOMIC_SPECIES
K 39.10 K.upf
B 10.81 B.upf
Mo 95.94 Mo.upf
CELL_PARAMETERS angstrom
3.0236 0.0000 0.0000
-1.5118 2.6186 0.0000
0.0000 0.0000 8.3264
ATOMIC_POSITIONS crystal
K 0.0000 0.0000 0.0000
B 0.3333 0.6667 0.3013
B 0.3333 0.6667 0.6987
B 0.6667 0.3333 0.3013
B 0.6667 0.3333 0.6987
Mo 0.0000 0.0000 0.5000
```

---

[5]
VASP calculation (PBE) on a relaxed BaNdFe crystal. Values from VASP.

Properties
- size of the total moment (μB/f.u.) = 2.04
- total DFT energy (no corrections) (eV/atom) = -3.762

Structure (Quantum ESPRESSO input):
```
&SYSTEM
  ibrav = 0, nat = 3, ntyp = 3
/
ATOMIC_SPECIES
Ba 137.33 Ba.upf
Nd 144.24 Nd.upf
Fe 55.84 Fe.upf
CELL_PARAMETERS angstrom
0.0000 3.5887 3.5887
3.5887 0.0000 3.5887
3.5887 3.5887 0.0000
ATOMIC_POSITIONS crystal
Ba 0.0000 0.0000 0.0000
Nd 0.2500 0.2500 0.2500
Fe 0.7500 0.7500 0.7500
```

---

[6]
VASP calculation (PBE) on a relaxed RbCo3Se5 crystal. Values from VASP.

Properties
- size of the total moment (μB/f.u.) = 3.22
- total DFT energy (no corrections) (eV/atom) = -4.774

Structure (Quantum ESPRESSO input):
```
&SYSTEM
  ibrav = 0, nat = 9, ntyp = 3
/
ATOMIC_SPECIES
Rb 85.47 Rb.upf
Co 58.93 Co.upf
Se 78.96 Se.upf
CELL_PARAMETERS angstrom
5.6442 0.0000 0.0000
-2.8221 4.8881 0.0000
0.0000 0.0000 7.3258
ATOMIC_POSITIONS crystal
Rb 0.0000 0.0000 0.0000
Co 0.0000 0.5000 0.5000
Co 0.5000 0.0000 0.5000
Co 0.5000 0.5000 0.5000
Se 0.0000 0.0000 0.5000
Se 0.3333 0.6667 0.2717
Se 0.3333 0.6667 0.7283
Se 0.6667 0.3333 0.2717
Se 0.6667 0.3333 0.7283
```

---

[7]
VASP calculation (PBE) on a relaxed Hf3Ni4 crystal. Values from VASP.

Properties
- size of the total moment (μB/f.u.) = 0.01
- ΔH_f (0 K) (eV per atom) = -0.3694

Structure (Quantum ESPRESSO input):
```
&SYSTEM
  ibrav = 0, nat = 7, ntyp = 2
/
ATOMIC_SPECIES
Hf 178.49 Hf.upf
Ni 58.69 Ni.upf
CELL_PARAMETERS angstrom
-1.6249 1.6249 10.1097
1.6249 -1.6249 10.1097
1.6249 1.6249 -10.1097
ATOMIC_POSITIONS crystal
Hf 0.0000 0.0000 0.0000
Hf 0.3019 0.3019 0.0000
Hf 0.6981 0.6981 0.0000
Ni 0.1332 0.1332 0.0000
Ni 0.4337 0.4337 0.0000
Ni 0.5663 0.5663 0.0000
Ni 0.8668 0.8668 0.0000
```

---

[8]
VASP calculation (PBE) on a relaxed PmGdAsO crystal. Values from VASP.

Properties
- size of the total moment (μB/f.u.) = 0.02
- polymorph energy (0 for the lowest one) (eV per atom) = 0.028

Structure (Quantum ESPRESSO input):
```
&SYSTEM
  ibrav = 0, nat = 8, ntyp = 4
/
ATOMIC_SPECIES
Pm 145.00 Pm.upf
Gd 157.25 Gd.upf
As 74.92 As.upf
O 16.00 O.upf
CELL_PARAMETERS angstrom
4.2008 0.0000 0.0000
0.0000 7.9116 0.0000
0.0000 0.0000 5.8841
ATOMIC_POSITIONS crystal
Pm 0.0000 0.1158 0.0000
Pm 0.0000 0.8842 0.5000
Gd 0.5000 0.2943 0.4395
Gd 0.5000 0.7057 0.9395
As 0.5000 0.3469 0.9340
As 0.5000 0.6531 0.4340
O 0.0000 0.1773 0.3881
O 0.0000 0.8227 0.8881
```

---

[9]
VASP calculation (PBE) on a relaxed BaTmAuS3 crystal. Values from VASP.

Properties
- size of the total moment (μB/f.u.) = 0.00
- total DFT energy (no corrections) (eV/atom) = -5.189

Structure (Quantum ESPRESSO input):
```
&SYSTEM
  ibrav = 0, nat = 24, ntyp = 4
/
ATOMIC_SPECIES
Ba 137.33 Ba.upf
Tm 168.93 Tm.upf
Au 196.97 Au.upf
S 32.06 S.upf
CELL_PARAMETERS angstrom
13.0789 0.0000 0.0000
0.0000 4.0717 0.0000
0.0000 0.0000 11.0335
ATOMIC_POSITIONS crystal
Ba 0.1785 0.2500 0.0200
Ba 0.3215 0.7500 0.5200
Ba 0.6785 0.2500 0.4800
Ba 0.8215 0.7500 0.9800
Tm 0.0227 0.7500 0.6598
Tm 0.4773 0.2500 0.1598
Tm 0.5227 0.7500 0.8402
Tm 0.9773 0.2500 0.3402
Au 0.1907 0.7500 0.2652
Au 0.3093 0.2500 0.7652
Au 0.6907 0.7500 0.2348
Au 0.8093 0.2500 0.7348
S 0.0235 0.7500 0.1749
S 0.1112 0.2500 0.5307
S 0.2012 0.7500 0.7944
S 0.2988 0.2500 0.2944
S 0.3888 0.7500 0.0307
S 0.4765 0.2500 0.6749
S 0.5235 0.7500 0.3251
S 0.6112 0.2500 0.9693
S 0.7012 0.7500 0.7056
S 0.7988 0.2500 0.2056
S 0.8888 0.7500 0.4693
S 0.9765 0.2500 0.8251
```

---

[10]
VASP calculation (PBE) on a relaxed HfInFeHg crystal. Values from VASP.

Properties
- size of the total moment (μB/f.u.) = 2.13
- polymorph energy (0 for the lowest one) (eV per atom) = 0.068

Structure (Quantum ESPRESSO input):
```
&SYSTEM
  ibrav = 0, nat = 4, ntyp = 4
/
ATOMIC_SPECIES
Hf 178.49 Hf.upf
In 114.82 In.upf
Fe 55.84 Fe.upf
Hg 200.59 Hg.upf
CELL_PARAMETERS angstrom
0.0000 3.3159 3.3159
3.3159 0.0000 3.3159
3.3159 3.3159 0.0000
ATOMIC_POSITIONS crystal
Hf 0.0000 0.0000 0.0000
In 0.2500 0.2500 0.2500
Fe 0.5000 0.5000 0.5000
Hg 0.7500 0.7500 0.7500
```

---

[11]
VASP calculation (PBE) on a relaxed Ba2Os crystal. Values from VASP.

Properties
- size of the total moment (μB/f.u.) = 0.00
- polymorph energy (0 for the lowest one) (eV per atom) = 0.000

Structure (Quantum ESPRESSO input):
```
&SYSTEM
  ibrav = 0, nat = 6, ntyp = 2
/
ATOMIC_SPECIES
Ba 137.33 Ba.upf
Os 190.23 Os.upf
CELL_PARAMETERS angstrom
0.0000 6.4129 6.4129
6.4129 0.0000 6.4129
6.4129 6.4129 0.0000
ATOMIC_POSITIONS crystal
Ba 0.0000 0.0000 0.0000
Ba 0.0000 0.0000 0.5000
Ba 0.0000 0.5000 0.0000
Ba 0.5000 0.0000 0.0000
Os 0.1250 0.1250 0.1250
Os 0.8750 0.8750 0.8750
```

---

[12]
VASP calculation (PBE) on a relaxed ZrAlCoAu crystal. Values from VASP.

Properties
- size of the total moment (μB/f.u.) = 1.11
- polymorph energy (0 for the lowest one) (eV per atom) = 0.000

Structure (Quantum ESPRESSO input):
```
&SYSTEM
  ibrav = 0, nat = 4, ntyp = 4
/
ATOMIC_SPECIES
Zr 91.22 Zr.upf
Al 26.98 Al.upf
Co 58.93 Co.upf
Au 196.97 Au.upf
CELL_PARAMETERS angstrom
0.0000 3.2076 3.2076
3.2076 0.0000 3.2076
3.2076 3.2076 0.0000
ATOMIC_POSITIONS crystal
Zr 0.0000 0.0000 0.0000
Al 0.5000 0.5000 0.5000
Co 0.7500 0.7500 0.7500
Au 0.2500 0.2500 0.2500
```

---

[13]
VASP calculation (PBE) on a relaxed ZrZn crystal. Values from VASP.

Properties
- size of the total moment (μB/f.u.) = 0.00
- ΔH_f (0 K) (eV per atom) = -0.1894

Structure (Quantum ESPRESSO input):
```
&SYSTEM
  ibrav = 0, nat = 12, ntyp = 2
/
ATOMIC_SPECIES
Zr 91.22 Zr.upf
Zn 65.41 Zn.upf
CELL_PARAMETERS angstrom
4.5559 0.0000 0.0000
0.0000 8.6427 0.0000
0.0000 0.0000 5.7348
ATOMIC_POSITIONS crystal
Zr 0.0000 0.0099 0.0000
Zr 0.0000 0.3433 0.3434
Zr 0.0000 0.6567 0.8434
Zr 0.0000 0.9901 0.5000
Zr 0.5000 0.1922 0.7297
Zr 0.5000 0.8078 0.2297
Zn 0.0000 0.3425 0.8500
Zn 0.0000 0.6575 0.3500
Zn 0.5000 0.1498 0.2406
Zn 0.5000 0.4766 0.0663
Zn 0.5000 0.5234 0.5663
Zn 0.5000 0.8502 0.7406
```

---

[14]
VASP calculation (PBE) on a relaxed Cu4Pd crystal. Values from VASP.

Properties
- ΔH_f (0 K) (eV per atom) = -0.0718

Structure (Quantum ESPRESSO input):
```
&SYSTEM
  ibrav = 0, nat = 20, ntyp = 2
/
ATOMIC_SPECIES
Cu 63.55 Cu.upf
Pd 106.42 Pd.upf
CELL_PARAMETERS angstrom
5.8504 0.0000 0.0000
0.0000 5.8504 0.0000
0.0000 0.0000 7.2988
ATOMIC_POSITIONS crystal
Cu 0.0000 0.0000 0.0000
Cu 0.0000 0.0000 0.5000
Cu 0.0967 0.2973 0.2494
Cu 0.0967 0.2973 0.7506
Cu 0.1910 0.6049 0.0000
Cu 0.2973 0.9033 0.2506
Cu 0.2973 0.9033 0.7494
Cu 0.3951 0.1910 0.5000
Cu 0.5000 0.5000 0.2500
Cu 0.5000 0.5000 0.7500
Cu 0.6049 0.8090 0.5000
Cu 0.7027 0.0967 0.2506
Cu 0.7027 0.0967 0.7494
Cu 0.8090 0.3951 0.0000
Cu 0.9033 0.7027 0.2494
Cu 0.9033 0.7027 0.7506
Pd 0.2089 0.6023 0.5000
Pd 0.3977 0.2089 0.0000
Pd 0.6023 0.7911 0.0000
Pd 0.7911 0.3977 0.5000
```

---

[15]
VASP calculation (PBE) on a relaxed Er2Al2Ir3Pd crystal. Values from VASP.

Properties
- size of the total moment (μB/f.u.) = 0.04
- total DFT energy (no corrections) (eV/atom) = -6.866

Structure (Quantum ESPRESSO input):
```
&SYSTEM
  ibrav = 0, nat = 8, ntyp = 4
/
ATOMIC_SPECIES
Er 167.26 Er.upf
Al 26.98 Al.upf
Ir 192.22 Ir.upf
Pd 106.42 Pd.upf
CELL_PARAMETERS angstrom
4.2856 0.0000 0.0000
-2.1428 3.7115 0.0000
0.0000 0.0000 9.1366
ATOMIC_POSITIONS crystal
Er 0.0000 0.0000 0.0000
Er 0.3333 0.6667 0.5060
Al 0.6667 0.3333 0.2370
Al 0.6667 0.3333 0.7494
Ir 0.0000 0.0000 0.6711
Ir 0.3333 0.6667 0.1629
Ir 0.3333 0.6667 0.8399
Pd 0.0000 0.0000 0.3381
```

---

[16]
VASP calculation (PBE) on a relaxed NiGe crystal. Values from VASP.

Properties
- size of the total moment (μB/f.u.) = 0.00
- total DFT energy (no corrections) (eV/atom) = -4.833

Structure (Quantum ESPRESSO input):
```
&SYSTEM
  ibrav = 0, nat = 2, ntyp = 2
/
ATOMIC_SPECIES
Ni 58.69 Ni.upf
Ge 72.64 Ge.upf
CELL_PARAMETERS angstrom
0.0000 2.6583 2.6583
2.6583 0.0000 2.6583
2.6583 2.6583 0.0000
ATOMIC_POSITIONS crystal
Ni 0.0000 0.0000 0.0000
Ge 0.2500 0.2500 0.2500
```

---

[17]
VASP calculation (PBE) on a relaxed La2AlAu3 crystal. Values from VASP.

Properties
- size of the total moment (μB/f.u.) = 0.01
- total DFT energy (no corrections) (eV/atom) = -4.705

Structure (Quantum ESPRESSO input):
```
&SYSTEM
  ibrav = 0, nat = 6, ntyp = 3
/
ATOMIC_SPECIES
La 138.91 La.upf
Al 26.98 Al.upf
Au 196.97 Au.upf
CELL_PARAMETERS angstrom
3.7777 0.0000 0.0000
0.0000 4.6684 0.0000
0.0000 0.0000 8.2519
ATOMIC_POSITIONS crystal
La 0.0000 0.0000 0.0000
La 0.0000 0.5000 0.4786
Al 0.5000 0.5000 0.8133
Au 0.5000 0.0000 0.3311
Au 0.5000 0.0000 0.6754
Au 0.5000 0.5000 0.1313
```

---

[18]
VASP calculation (PBE) on a relaxed AcNbB crystal. Values from VASP.

Properties
- size of the total moment (μB/f.u.) = 0.03
- polymorph energy (0 for the lowest one) (eV per atom) = 0.000

Structure (Quantum ESPRESSO input):
```
&SYSTEM
  ibrav = 0, nat = 3, ntyp = 3
/
ATOMIC_SPECIES
Ac 227.00 Ac.upf
Nb 92.91 Nb.upf
B 10.81 B.upf
CELL_PARAMETERS angstrom
0.0000 3.1715 3.1715
3.1715 0.0000 3.1715
3.1715 3.1715 0.0000
ATOMIC_POSITIONS crystal
Ac 0.0000 0.0000 0.0000
Nb 0.5000 0.5000 0.5000
B 0.2500 0.2500 0.2500
```

---

[19]
VASP calculation (PBE) on a relaxed UCo4Sn crystal. Values from VASP.

Properties
- size of the total moment (μB/f.u.) = 0.43
- total DFT energy (no corrections) (eV/atom) = -7.391

Structure (Quantum ESPRESSO input):
```
&SYSTEM
  ibrav = 0, nat = 6, ntyp = 3
/
ATOMIC_SPECIES
U 238.03 U.upf
Co 58.93 Co.upf
Sn 118.71 Sn.upf
CELL_PARAMETERS angstrom
0.0000 3.4931 3.4931
3.4931 0.0000 3.4931
3.4931 3.4931 0.0000
ATOMIC_POSITIONS crystal
U 0.0000 0.0000 0.0000
Co 0.3767 0.3767 0.3767
Co 0.3767 0.3767 0.8700
Co 0.3767 0.8700 0.3767
Co 0.8700 0.3767 0.3767
Sn 0.7500 0.7500 0.7500
```

---

[20]
VASP calculation (PBE) on a relaxed YTePt2 crystal. Values from VASP.

Properties
- size of the total moment (μB/f.u.) = 0.00
- total DFT energy (no corrections) (eV/atom) = -5.951

Structure (Quantum ESPRESSO input):
```
&SYSTEM
  ibrav = 0, nat = 4, ntyp = 3
/
ATOMIC_SPECIES
Y 88.91 Y.upf
Te 127.60 Te.upf
Pt 195.08 Pt.upf
CELL_PARAMETERS angstrom
0.0000 3.4427 3.4427
3.4427 0.0000 3.4427
3.4427 3.4427 0.0000
ATOMIC_POSITIONS crystal
Y 0.0000 0.0000 0.0000
Te 0.7500 0.7500 0.7500
Pt 0.2500 0.2500 0.2500
Pt 0.5000 0.5000 0.5000
```